Here is an optimized crystal structure of CuOsRh from the Alexandria database. Energies are from PBE.

Cell lengths 4.6000, 4.6000, 4.6000 Å; angles 145.80, 131.37, 60.79 degrees
Element x y z (fractional)
Cu1 0.0000 0.0000 0.0000
Os1 0.6651 0.6651 0.0000
Rh1 0.3306 0.3306 0.0000

Properties
V: 41 Å³/cell
Space group: Imm2
E_form: 4.7 kcal/mol of atoms
M_tot: 0.000 μB/f.u.


Here is an optimized crystal structure of InNiMo2 from the Alexandria database. Energies are from PBE.

Cell lengths 2.7667, 4.2337, 5.4068 Å; angles 90.00, 90.00, 90.00 degrees
Element x y z (fractional)
In1 0.0000 0.0000 0.0000
Ni1 0.0000 0.0000 0.5000
Mo1 0.5000 0.5000 0.2728
Mo2 0.5000 0.5000 0.7272

Properties
V: 63 Å³/cell
Space group: Pmmm
E_form: 5.5 kcal/mol of atoms
M_tot: 0.000 μB/f.u.


Here is an optimized crystal structure of Sm6RhAu5 from the Alexandria database. Energies are from PBE.

Cell lengths 8.9081, 8.9081, 5.1467 Å; angles 106.76, 106.76, 119.65 degrees
Element x y z (fractional)
Sm1 0.0824 0.4066 0.7450
Sm2 0.2404 0.2404 0.2412
Sm3 0.4066 0.0824 0.7450
Sm4 0.5934 0.9176 0.2550
Sm5 0.7596 0.7596 0.7588
Sm6 0.9176 0.5934 0.2550
Rh1 0.0000 0.0000 0.5000
Au1 0.1737 0.8263 0.0000
Au2 0.3350 0.6650 0.5000
Au3 0.5000 0.5000 0.0000
Au4 0.6650 0.3350 0.5000
Au5 0.8263 0.1737 0.0000

Properties
V: 291 Å³/cell
Space group: C2/m
E_form: -17.9 kcal/mol of atoms
M_tot: 0.000 μB/f.u.


Here is an optimized crystal structure of Cu5Sn4 from the Alexandria database. Energies are from PBE.

Cell lengths 10.0457, 7.3931, 9.9516 Å; angles 90.00, 118.04, 90.00 degrees
Element x y z (fractional)
Cu1 0.0566 0.2225 0.4424
Cu2 0.0566 0.2775 0.9424
Cu3 0.1898 0.7443 0.3129
Cu4 0.1898 0.7557 0.8129
Cu5 0.1915 0.5902 0.0627
Cu6 0.1915 0.9098 0.5627
Cu7 0.3165 0.2229 0.6833
Cu8 0.3165 0.2771 0.1833
Cu9 0.4297 0.7434 0.5686
Cu10 0.4297 0.7566 0.0686
Cu11 0.5703 0.2434 0.9314
Cu12 0.5703 0.2566 0.4314
Cu13 0.6835 0.7229 0.8167
Cu14 0.6835 0.7771 0.3167
Cu15 0.8085 0.0902 0.4373
Cu16 0.8085 0.4098 0.9373
Cu17 0.8102 0.2443 0.1871
Cu18 0.8102 0.2557 0.6871
Cu19 0.9434 0.7225 0.0576
Cu20 0.9434 0.7775 0.5576
Sn1 0.0712 0.0994 0.7145
Sn2 0.0712 0.4006 0.2145
Sn3 0.1825 0.5514 0.5637
Sn4 0.1825 0.9486 0.0637
Sn5 0.3239 0.0852 0.4226
Sn6 0.3239 0.4148 0.9226
Sn7 0.4569 0.5958 0.3319
Sn8 0.4569 0.9042 0.8319
Sn9 0.5431 0.0958 0.1681
Sn10 0.5431 0.4042 0.6681
Sn11 0.6761 0.5852 0.0774
Sn12 0.6761 0.9148 0.5774
Sn13 0.8175 0.0514 0.9363
Sn14 0.8175 0.4486 0.4363
Sn15 0.9288 0.5994 0.7855
Sn16 0.9288 0.9006 0.2855

Properties
V: 652 Å³/cell
Space group: P2_1/c
E_form: -0.5 kcal/mol of atoms
M_tot: 0.000 μB/f.u.


Here is an optimized crystal structure of LiAcPtAu from the Alexandria database. Energies are from PBE.

Cell lengths 5.8543, 5.8543, 5.8543 Å; angles 45.05, 45.05, 45.05 degrees
Element x y z (fractional)
Li1 0.0000 0.0000 0.0000
Ac1 0.4913 0.4913 0.4913
Pt1 0.7092 0.7092 0.7092
Au1 0.2844 0.2844 0.2844

Properties
V: 92 Å³/cell
Space group: R3m
E_form: -19.2 kcal/mol of atoms
M_tot: 0.000 μB/f.u.


Here is an optimized crystal structure of V4Ir2N from the Alexandria database. Energies are from PBE.

Cell lengths 7.9681, 7.9681, 7.9681 Å; angles 60.00, 60.00, 60.00 degrees
Element x y z (fractional)
V1 0.0000 0.0000 0.0000
V2 0.0000 0.0000 0.5000
V3 0.0000 0.5000 0.0000
V4 0.1937 0.1937 0.5563
V5 0.1937 0.5563 0.1937
V6 0.1937 0.5563 0.5563
V7 0.4437 0.4437 0.8063
V8 0.4437 0.8063 0.4437
V9 0.4437 0.8063 0.8063
V10 0.5000 0.0000 0.0000
V11 0.5563 0.1937 0.1937
V12 0.5563 0.1937 0.5563
V13 0.5563 0.5563 0.1937
V14 0.8063 0.4437 0.4437
V15 0.8063 0.4437 0.8063
V16 0.8063 0.8063 0.4437
Ir1 0.1441 0.7853 0.7853
Ir2 0.2147 0.2147 0.2147
Ir3 0.2147 0.2147 0.8559
Ir4 0.2147 0.8559 0.2147
Ir5 0.7853 0.1441 0.7853
Ir6 0.7853 0.7853 0.1441
Ir7 0.7853 0.7853 0.7853
Ir8 0.8559 0.2147 0.2147
N1 0.0000 0.5000 0.5000
N2 0.5000 0.0000 0.5000
N3 0.5000 0.5000 0.0000
N4 0.5000 0.5000 0.5000

Properties
V: 358 Å³/cell
Uncorrected formation energy: -0.59 eV per atom
Space group: Fd-3m
M_tot: 0.000 μB/f.u.


Here is an optimized crystal structure of K3SnGe from the Alexandria database. Energies are from PBE.

Cell lengths 10.9376, 7.1739, 12.7733 Å; angles 90.00, 107.49, 90.00 degrees
Element x y z (fractional)
K1 0.0912 0.2280 0.1138
K2 0.0912 0.7720 0.6138
K3 0.2867 0.3595 0.8241
K4 0.2867 0.6405 0.3241
K5 0.3604 0.1615 0.5355
K6 0.3604 0.8385 0.0355
K7 0.6396 0.1615 0.9645
K8 0.6396 0.8385 0.4645
K9 0.7133 0.3595 0.6759
K10 0.7133 0.6405 0.1759
K11 0.9088 0.2280 0.3862
K12 0.9088 0.7720 0.8862
Sn1 0.4220 0.3530 0.1313
Sn2 0.4220 0.6470 0.6313
Sn3 0.5780 0.3530 0.3687
Sn4 0.5780 0.6470 0.8687
Ge1 0.3932 0.0813 0.2775
Ge2 0.3932 0.9187 0.7775
Ge3 0.6068 0.0813 0.2225
Ge4 0.6068 0.9187 0.7225

Properties
V: 956 Å³/cell
Space group: P2/c
E_form: -4.2 kcal/mol of atoms
M_tot: 0.000 μB/f.u.


Here is an optimized crystal structure of CaCr2Se from the Alexandria database. Energies are from PBE.

Cell lengths 3.6009, 3.8850, 5.9711 Å; angles 90.00, 90.21, 90.00 degrees
Element x y z (fractional)
Ca1 0.0000 0.0000 0.0000
Cr1 0.0034 0.5000 0.5493
Cr2 0.5029 0.0000 0.5339
Se1 0.5014 0.5000 0.2234

Properties
V: 84 Å³/cell
Uncorrected formation energy: -0.16 eV per atom
Space group: Pm
M_tot: 0.235 μB/f.u.